(1)
Li2TlAu | PBEsol | relaxed

Structure (extended XYZ):
```
4
Lattice="4.185 0.000 0.000 0.000 4.185 0.000 -2.093 -2.093 3.947" Properties=species:S:1:pos:R:3 pbc="T T T"
Au 2.093 0.000 1.974
Tl 2.093 2.093 0.000
Li 0.000 2.093 1.974
Li 0.000 0.000 0.000
```

Values from the calculation:
ΔE_f ... -0.38 eV/atom

***

(2)
Li2TlAu | PBEsol | relaxed

Structure (extended XYZ):
```
4
Lattice="4.619 0.000 0.000 2.309 4.000 0.000 2.309 1.333 3.771" Properties=species:S:1:pos:R:3 pbc="T T T"
Li 2.309 1.333 0.943
Au 6.928 4.000 2.828
Li 4.619 2.667 1.886
Tl 0.000 0.000 0.000
```

Values from the calculation:
ΔE_f ... -0.38 eV/atom

***

(3)
LiTmAu2 | PBEsol | relaxed

Structure (extended XYZ):
```
4
Lattice="-4.260 2.035 -0.101 -3.372 -1.718 -2.825 -3.726 -2.230 1.856" Properties=species:S:1:pos:R:3 pbc="T T T"
Li -5.679 -0.957 -0.535
Au -8.519 -1.435 -0.803
Tm 0.000 0.000 0.000
Au -2.840 -0.478 -0.268
```

Values from the calculation:
ΔE_f ... -0.71 eV/atom

***

(4)
LiTm2Au | PBEsol | relaxed

Structure (extended XYZ):
```
4
Lattice="-3.918 -0.363 -3.006 0.380 -2.468 -4.276 -2.297 -4.351 -0.559" Properties=species:S:1:pos:R:3 pbc="T T T"
Au -2.917 -3.591 -3.921
Tm -4.376 -5.387 -5.881
Tm -1.459 -1.796 -1.960
Li 0.000 0.000 0.000
```

Values from the calculation:
ΔE_f ... -0.43 eV/atom

***

(5)
LiW2Au | PBEsol | relaxed

Structure (extended XYZ):
```
4
Lattice="-2.023 0.467 1.728 -0.945 -1.478 -2.054 2.096 -7.603 4.508" Properties=species:S:1:pos:R:3 pbc="T T T"
W 0.097 -6.240 3.237
Au 1.033 -3.748 2.222
Li -0.943 -2.466 0.999
W 2.085 -7.565 4.485
```

Values from the calculation:
ΔE_f ... 0.18 eV/atom

***

(6)
LiW2Au | PBEsol | relaxed

Structure (extended XYZ):
```
4
Lattice="-2.367 0.781 -0.866 0.672 -0.687 -2.457 -3.226 -8.208 1.413" Properties=species:S:1:pos:R:3 pbc="T T T"
W -2.412 -6.137 1.056
Au -0.847 0.047 -1.661
W -0.814 -2.072 0.357
Li -2.460 -4.057 -0.955
```

Values from the calculation:
ΔE_f ... 0.60 eV/atom

***

(7)
LiW2Au | PBEsol | relaxed

Structure (extended XYZ):
```
4
Lattice="-2.798 0.714 2.279 -1.318 -3.389 -0.557 4.432 -0.141 2.516" Properties=species:S:1:pos:R:3 pbc="T T T"
W -0.212 -0.382 2.828
Li 0.000 0.000 0.000
W 0.528 -2.433 1.410
Au -2.058 -1.337 0.861
```

Values from the calculation:
ΔE_f ... 0.30 eV/atom

***

(8)
LiW2Au | PBEsol | relaxed

Structure (extended XYZ):
```
4
Lattice="-1.588 -0.815 -1.963 0.193 -1.847 1.896 -7.623 3.882 4.556" Properties=species:S:1:pos:R:3 pbc="T T T"
Au -4.509 0.610 2.244
Li -0.698 -1.331 -0.034
W -5.717 2.911 3.417
W -1.905 0.970 1.139
```

Values from the calculation:
ΔE_f ... 0.56 eV/atom

***

These records have total moment values of 0.00, 0.00, 0.00, 0.00, 0.00, 0.00, 0.00, 0.00 μB per cell, in the order they appear.